(1)
Density functional theory data (GGA-PBE) for crystalline Cs2FeCI6 at its relaxed geometry.

```
10
Lattice="-5.192 0.318 5.961 5.310 -3.363 4.804 2.145 3.949 6.908" Properties=species:S:1:pos:R:3 pbc="T T T"
I 1.238 1.570 6.245
I 0.031 -0.805 2.845
I 1.025 -0.667 11.428
I 0.087 -2.241 7.921
I 2.535 -2.391 5.110
I -2.417 -0.655 5.655
C 0.059 -1.523 5.383
Cs 3.757 -0.469 8.547
Cs -1.494 1.372 9.126
Fe 0.000 0.000 0.000
```

Output
- E_form (uncorrected): -9.58 kJ per mole of atoms
- Size of the total moment: 5.02 μB/f.u.

***

(2)
Density functional theory data (GGA-PBE) for crystalline CsLiFeC2 at its relaxed geometry.

```
5
Lattice="-1.547 -3.369 0.778 -0.317 -1.004 -4.980 3.449 -1.562 0.095" Properties=species:S:1:pos:R:3 pbc="T T T"
C 1.725 -0.781 0.048
C -0.773 -1.684 0.389
Cs 0.793 -2.967 -2.054
Fe 0.000 0.000 0.000
Li -0.159 -0.502 -2.490
```

Output
- Size of the total moment: 0.00 μB/f.u.
- DFT formation energy: 1108.0 meV per atom

***

(3)
Density functional theory data (GGA-PBE) for crystalline Cs2MnFeC6N6 at its relaxed geometry.

```
16
Lattice="7.124 0.000 0.000 3.562 6.170 0.000 3.562 2.057 5.817" Properties=species:S:1:pos:R:3 pbc="T T T"
C 7.124 1.548 1.095
C 4.903 5.396 1.095
C 7.124 6.678 4.722
C 4.903 2.830 4.722
C 9.345 2.830 4.722
C 9.345 5.396 1.095
N 8.508 3.314 4.039
N 7.124 5.712 4.039
N 8.508 4.912 1.778
N 7.124 2.514 1.778
N 5.739 4.912 1.778
N 5.739 3.314 4.039
Cs 3.562 2.057 1.454
Cs 10.686 6.170 4.362
Mn 7.124 4.113 2.908
Fe 0.000 0.000 0.000
```

Output
- E_form (uncorrected): -13.74 kJ per mole of atoms
- Size of the total moment: 1.00 μB/f.u.

***

(4)
Density functional theory data (GGA-PBE) for crystalline Cs2NaFeC6N6 at its relaxed geometry.

```
32
Lattice="7.831 0.000 0.000 0.000 7.624 0.015 0.000 7.633 10.930" Properties=species:S:1:pos:R:3 pbc="T T T"
Fe 0.000 0.000 0.000
Fe 3.916 3.816 5.465
N 6.409 9.683 4.990
N 5.723 6.286 5.883
N 4.058 10.840 8.504
N 2.493 1.758 0.489
N 1.808 12.788 10.527
N 6.023 2.469 0.418
N 0.142 8.233 7.906
N 3.773 4.417 2.441
N 7.689 7.024 3.039
N 2.108 8.971 5.062
N 1.422 5.574 5.954
N 5.338 13.499 10.456
C 6.711 1.527 0.252
C 3.837 4.188 3.594
C 5.036 5.344 5.717
C 1.544 1.087 0.296
C 7.752 7.253 1.886
C 0.079 8.004 9.059
C 2.795 9.913 5.228
C 6.287 14.170 10.649
C 1.120 13.730 10.693
C 2.371 4.903 5.761
C 5.460 10.354 5.184
C 3.994 11.069 7.351
Cs 3.547 7.535 8.204
Cs 0.369 3.719 2.739
Cs 7.462 11.538 8.206
Cs 4.284 7.722 2.741
Na 3.916 3.812 0.007
Na 0.000 7.629 5.472
```

Output
- E_form (uncorrected): -12.30 kJ per mole of atoms
- Size of the total moment: 1.00 μB/f.u.

***

(5)
Density functional theory data (GGA-PBE) for crystalline Cs2RbFeC6N6 at its relaxed geometry.

```
32
Lattice="-3.493 7.255 2.149 -2.230 1.144 -7.488 -12.039 -4.223 -5.314" Properties=species:S:1:pos:R:3 pbc="T T T"
Cs -6.638 3.869 -5.570
Cs -13.945 4.433 -7.435
Cs -3.818 -0.256 -3.219
Cs -11.125 0.307 -5.084
N -7.226 0.785 -4.535
N -10.536 3.392 -6.119
N -8.318 6.804 -5.858
N -4.807 2.354 -1.288
N -9.246 -0.197 -8.147
N -8.516 4.373 -2.506
N -9.445 -2.627 -4.795
N -14.133 1.426 -5.410
N -4.902 6.303 -3.224
N -12.861 -2.126 -7.429
N -3.629 2.750 -5.243
N -12.955 1.823 -9.366
C -7.440 1.045 -3.405
C -3.099 2.146 -6.105
C -8.233 3.288 -2.144
C -12.565 -2.924 -6.613
C -14.663 2.030 -4.548
C -7.336 7.425 -5.654
C -10.322 3.131 -7.248
C -10.426 -3.248 -4.999
C -5.197 7.100 -4.041
C -11.822 2.127 -9.255
C -5.941 2.049 -1.399
C -9.530 0.889 -8.510
Fe 0.000 0.000 0.000
Fe -7.766 1.516 -1.583
Rb -7.135 -1.539 -6.401
Rb -2.862 4.200 -2.669
```

Output
- E_form (uncorrected): -13.03 kJ per mole of atoms
- Size of the total moment: 1.00 μB/f.u.

***

Electronic total energy, record by record: -2.9687, -4.8276, -7.9321, -7.4265, -7.4121 eV per atom